1.
{
  "formula": "TlCuSn2",
  "functional": "PBE-GGA",
  "state": "optimized geometry",
  "formation_enthalpy_0k_kj_per_mol_fu": 52.0,
  "total_energy_ev_per_atom": -3.48,
  "cell": [[3.403, 0.000, 0.000], [-1.702, 2.947, 0.000], [0.000, 0.000, 30.628]],
  "species": ["Tl", "Tl", "Tl", "Cu", "Cu", "Cu", "Sn", "Sn", "Sn", "Sn", "Sn", "Sn"],
  "frac_coords": [[0.000, 0.000, 0.000], [0.333, 0.667, 0.667], [0.667, 0.333, 0.333], [0.000, 0.000, 0.500], [0.333, 0.667, 0.167], [0.667, 0.333, 0.833], [0.000, 0.000, 0.104], [0.000, 0.000, 0.896], [0.333, 0.667, 0.562], [0.333, 0.667, 0.771], [0.667, 0.333, 0.229], [0.667, 0.333, 0.438]]
}

=====

2.
{
  "formula": "TlCuSn2",
  "functional": "PBE-GGA",
  "state": "optimized geometry",
  "formation_enthalpy_0k_kj_per_mol_fu": 115.5,
  "total_energy_ev_per_atom": -3.32,
  "cell": [[7.324, 0.000, 0.000], [0.000, 7.324, 0.000], [0.000, 0.000, 7.324]],
  "species": ["Tl", "Tl", "Tl", "Tl", "Cu", "Cu", "Cu", "Cu", "Sn", "Sn", "Sn", "Sn", "Sn", "Sn", "Sn", "Sn"],
  "frac_coords": [[0.000, 0.000, 0.000], [0.000, 0.500, 0.500], [0.500, 0.000, 0.500], [0.500, 0.500, 0.000], [0.000, 0.000, 0.500], [0.000, 0.500, 0.000], [0.500, 0.000, 0.000], [0.500, 0.500, 0.500], [0.250, 0.250, 0.250], [0.250, 0.250, 0.750], [0.250, 0.750, 0.250], [0.250, 0.750, 0.750], [0.750, 0.250, 0.250], [0.750, 0.250, 0.750], [0.750, 0.750, 0.250], [0.750, 0.750, 0.750]]
}

=====

no.,energy relative to the lowest polymorph listed for this composition (meV per atom)
1,81
2,246